The following is a DFT calculation (GGA+U) of a relaxed LiMnPO4 crystal.

a = 5.767 Å, b = 8.033 Å, c = 8.465 Å
α = 105.00°, β = 93.42°, γ = 94.81°
Fractional positions:
Li  0.007  0.003  0.249
Li  0.186  0.622  0.539
Li  0.814  0.378  0.461
Li  0.993  0.997  0.751
Mn  0.352  0.501  0.155
Mn  0.495  0.001  0.757
Mn  0.505  0.999  0.243
Mn  0.648  0.499  0.845
P  0.183  0.748  0.925
P  0.297  0.253  0.571
P  0.703  0.747  0.429
P  0.817  0.252  0.075
O  0.068  0.334  0.094
O  0.125  0.388  0.570
O  0.219  0.910  0.075
O  0.236  0.807  0.767
O  0.247  0.153  0.704
O  0.278  0.117  0.401
O  0.363  0.621  0.955
O  0.444  0.659  0.389
O  0.556  0.341  0.611
O  0.637  0.379  0.045
O  0.722  0.883  0.599
O  0.753  0.847  0.296
O  0.764  0.193  0.233
O  0.781  0.090  0.925
O  0.875  0.612  0.430
O  0.932  0.666  0.906

Output
Fermi-level density of states in states/eV/cell: 0.00
Space-group type: P-1, No. 2
Energy above the lowest structure with this stoichiometry in eV per atom: 0.043